4
Lattice="-0.1374 -1.5201 -4.3281 0.2040 -4.5038 -0.8578 -3.7144 -2.2136 -1.5378" Properties=species:S:1:pos:R:3 comment="UGaTcOs | the Alexandria database | GGA-PBE | optimized geometry" magnetic_moment_mub_per_cell=0.73 energy_ev_per_cell=-36.3 pbc="T T T"
Tc -1.8239 -4.1187 -3.3618
U -0.9120 -2.0594 -1.6809
Ga -2.7359 -6.1781 -5.0427
Os 0.0000 0.0000 0.0000